## AgOsRhI2 (GGA-PBE)

Data for crystalline AgOsRhI2 at its relaxed geometry.

**Space group**: No. 123
**E_form (uncorrected)**: 1466 meV per atom
**Spin magnetization**: 1.700 μB per formula unit

Cell and atoms, written as extended XYZ:
```
5
Lattice="-4.9934 -0.2588 -1.4044 -1.0031 -2.9933 4.1183 -1.0155 4.2345 2.8304" Properties=species:S:1:pos:R:3 pbc="T T T"
Ag -0.5015 -1.4967 2.0591
Os 0.0000 0.0000 0.0000
Rh -3.5060 0.4911 2.7722
I -0.5078 2.1172 1.4152
I -2.4967 -0.1294 -0.7022
```